A plane-wave DFT calculation with GGA+U was carried out for a geometry-optimized VCoNF2 structure.

Calculated values
Symmetry: P4/mmm (123)
Total energy, eV per atom: -5.442
Volume, Å³/cell: 59

Cell lengths 3.9386, 3.9386, 3.8270 Å; angles 90.00, 90.00, 90.00 degrees
Atoms (fractional coordinates):
N 0.0000 0.0000 0.5000
Co 0.0000 0.0000 0.0000
F 0.5000 0.0000 0.0000
F 0.0000 0.5000 0.0000
V 0.5000 0.5000 0.5000